No. 1
## YHo2OsO8 (GGA-PBE)

Data for a geometry-optimized YHo2OsO8 structure.

Cell lengths 5.0222, 5.0223, 6.7657 Å; angles 90.00, 90.00, 90.39 degrees
Sites, in units of the cell vectors:
Y 0.0000 0.0000 0.5000
Ho 0.5000 0.5000 0.7464
Ho 0.5000 0.5000 0.2536
Os 0.0000 0.0000 0.0000
O 0.1839 0.8155 0.2092
O 0.7342 0.7351 0.0000
O 0.8161 0.1845 0.2092
O 0.8161 0.1845 0.7908
O 0.2658 0.2649 0.0000
O 0.1839 0.8155 0.7908
O 0.6912 0.6915 0.5000
O 0.3088 0.3085 0.5000

No. 2
## Y2HoOsO8 (GGA-PBE)

Data for a geometry-optimized Y2HoOsO8 structure.

Cell lengths 5.0434, 5.0414, 6.7645 Å; angles 90.00, 90.00, 90.57 degrees
Sites, in units of the cell vectors:
Y 0.5000 0.5000 0.7466
Y 0.5000 0.5000 0.2534
Ho 0.0000 0.0000 0.5000
Os 0.0000 0.0000 0.0000
O 0.1820 0.8179 0.2105
O 0.7353 0.7353 0.0000
O 0.8179 0.1821 0.2105
O 0.8180 0.1821 0.7895
O 0.2647 0.2647 0.0000
O 0.1821 0.8179 0.7895
O 0.6942 0.6940 0.5000
O 0.3058 0.3060 0.5000

No. 3
## Ho2PO (GGA-PBE)

Data for a geometry-optimized Ho2PO structure.

Cell lengths 3.6201, 3.6201, 6.8149 Å; angles 74.60, 74.60, 60.00 degrees
Sites, in units of the cell vectors:
Ho 0.0874 0.0874 0.7377
Ho 0.2489 0.2489 0.2533
P 0.6681 0.6681 0.9956
O 0.4955 0.4955 0.5135

- Polymorph energy (0 for the lowest one): 8.141 kcal/mol of atoms

No. 4
## Ho2PO (GGA-PBE)

Data for a geometry-optimized Ho2PO structure.

Cell lengths 4.1029, 3.7783, 10.2164 Å; angles 90.00, 90.00, 90.00 degrees
Sites, in units of the cell vectors:
Ho 0.7010 0.8585 0.2108
Ho 0.7010 0.3581 0.7147
Ho 0.2009 0.8581 0.5012
Ho 0.2010 0.3586 0.0052
P 0.2010 0.8582 0.7768
P 0.7009 0.3581 0.4392
O 0.2010 0.8586 0.1253
O 0.7010 0.3586 0.0907

- Polymorph energy (0 for the lowest one): 0.000 kcal/mol of atoms

No. 5
## HoP3O9 (GGA-PBE)

Data for a geometry-optimized HoP3O9 structure.

Cell lengths 20.3480, 10.2155, 11.4750 Å; angles 82.25, 90.00, 90.00 degrees
Sites, in units of the cell vectors:
Ho 0.1755 0.5237 0.5021
Ho 0.6755 0.9763 0.4979
Ho 0.8245 0.4763 0.4979
Ho 0.3245 0.0237 0.5021
Ho 0.6564 0.9844 0.9999
Ho 0.1564 0.5156 0.0001
Ho 0.3436 0.0156 0.0001
Ho 0.8436 0.4844 0.9999
Ho 0.0000 0.0000 0.5000
Ho 0.5000 0.5000 0.5000
Ho 0.0000 0.0000 0.0000
Ho 0.5000 0.5000 0.0000
P 0.5531 0.9731 0.2663
P 0.0531 0.5269 0.7337
P 0.4469 0.0269 0.7337
P 0.9469 0.4731 0.2663
P 0.5429 0.8183 0.8252
P 0.0429 0.6817 0.1748
P 0.4571 0.1817 0.1748
P 0.9571 0.3183 0.8252
P 0.3764 0.3220 0.3479
P 0.8764 0.1780 0.6521
P 0.6236 0.6780 0.6521
P 0.1236 0.8220 0.3479
P 0.2734 0.5070 0.2397
P 0.7734 0.9930 0.7603
P 0.7266 0.4930 0.7603
P 0.2266 0.0070 0.2397
P 0.1167 0.1917 0.1483
P 0.6167 0.3083 0.8517
P 0.8833 0.8083 0.8517
P 0.3833 0.6917 0.1483
P 0.0625 0.3103 0.3603
P 0.5625 0.1897 0.6397
P 0.9375 0.6897 0.6397
P 0.4375 0.8103 0.3603
P 0.2100 0.1959 0.6724
P 0.7100 0.3041 0.3276
P 0.7900 0.8041 0.3276
P 0.2900 0.6959 0.6724
P 0.7796 0.1778 0.1357
P 0.2796 0.3222 0.8643
P 0.2204 0.8222 0.8643
P 0.7204 0.6778 0.1357
P 0.8894 0.0180 0.2475
P 0.3894 0.4820 0.7525
P 0.1106 0.9820 0.7525
P 0.6106 0.5180 0.2475
O 0.5895 0.9596 0.3803
O 0.0895 0.5404 0.6197
O 0.4105 0.0404 0.6197
O 0.9105 0.4596 0.3803
O 0.5909 0.9636 0.1559
O 0.0909 0.5364 0.8441
O 0.4091 0.0364 0.8441
O 0.9091 0.4636 0.1559
O 0.5176 0.6940 0.8941
O 0.0176 0.8060 0.1059
O 0.4824 0.3060 0.1059
O 0.9824 0.1940 0.8941
O 0.5760 0.9176 0.8899
O 0.0760 0.5824 0.1101
O 0.4240 0.0824 0.1101
O 0.9240 0.4176 0.8899
O 0.4254 0.4205 0.3807
O 0.9254 0.0795 0.6193
O 0.5746 0.5795 0.6193
O 0.0746 0.9205 0.3807
O 0.3382 0.2421 0.4440
O 0.8382 0.2579 0.5560
O 0.6618 0.7579 0.5560
O 0.1618 0.7421 0.4440
O 0.2548 0.5336 0.3611
O 0.7548 0.9664 0.6389
O 0.7452 0.4664 0.6389
O 0.2452 0.0336 0.3611
O 0.2193 0.4747 0.1602
O 0.7193 0.0253 0.8398
O 0.7807 0.5253 0.8398
O 0.2807 0.9747 0.1602
O 0.0680 0.0884 0.1242
O 0.5680 0.4116 0.8758
O 0.9320 0.9116 0.8758
O 0.4320 0.5884 0.1242
O 0.1214 0.3106 0.0570
O 0.6214 0.1894 0.9430
O 0.8786 0.6894 0.9430
O 0.3786 0.8106 0.0570
O 0.1019 0.4238 0.3935
O 0.6019 0.0762 0.6065
O 0.8981 0.5762 0.6065
O 0.3981 0.9238 0.3935
O 0.0369 0.2092 0.4568
O 0.5369 0.2908 0.5432
O 0.9631 0.7908 0.5432
O 0.4631 0.7092 0.4568
O 0.4844 0.8872 0.7448
O 0.9844 0.6128 0.2552
O 0.5156 0.1128 0.2552
O 0.0156 0.3872 0.7448
O 0.5915 0.7856 0.7237
O 0.0915 0.7144 0.2763
O 0.4085 0.2144 0.2763
O 0.9085 0.2856 0.7237
O 0.3273 0.3913 0.2474
O 0.8273 0.1087 0.7526
O 0.6727 0.6087 0.7526
O 0.1727 0.8913 0.2474
O 0.1892 0.1308 0.1669
O 0.6892 0.3692 0.8331
O 0.8108 0.8692 0.8331
O 0.3108 0.6308 0.1669
O 0.1062 0.2323 0.2767
O 0.6062 0.2677 0.7233
O 0.8938 0.7677 0.7233
O 0.3938 0.7323 0.2767
O 0.4959 0.8638 0.2713
O 0.9959 0.6362 0.7287
O 0.5041 0.1362 0.7287
O 0.0041 0.3638 0.2713
O 0.1957 0.3205 0.5920
O 0.6957 0.1795 0.4080
O 0.8043 0.6795 0.4080
O 0.3043 0.8205 0.5920
O 0.2565 0.0980 0.6312
O 0.7565 0.4020 0.3688
O 0.7435 0.9020 0.3688
O 0.2435 0.5980 0.6312
O 0.7403 0.0669 0.0971
O 0.2403 0.4331 0.9029
O 0.2597 0.9331 0.9029
O 0.7597 0.5669 0.0971
O 0.8151 0.2698 0.0436
O 0.3151 0.2302 0.9564
O 0.1849 0.7302 0.9564
O 0.6849 0.7698 0.0436
O 0.9332 0.0477 0.3456
O 0.4332 0.4523 0.6544
O 0.0668 0.9523 0.6544
O 0.5668 0.5477 0.3456
O 0.9174 0.0192 0.1266
O 0.4174 0.4808 0.8734
O 0.0826 0.9808 0.8734
O 0.5826 0.5192 0.1266
O 0.2326 0.2309 0.7983
O 0.7326 0.2691 0.2017
O 0.7674 0.7691 0.2017
O 0.2674 0.7309 0.7983
O 0.8287 0.1203 0.2412
O 0.3287 0.3797 0.7588
O 0.1713 0.8797 0.7588
O 0.6713 0.6203 0.2412
O 0.1417 0.1256 0.7109
O 0.6417 0.3744 0.2891
O 0.8583 0.8744 0.2891
O 0.3583 0.6256 0.7109

- Polymorph energy (0 for the lowest one): 0.000 kcal/mol of atoms

No. 6
## Ho12P3O5 (GGA-PBE)

Data for a geometry-optimized Ho12P3O5 structure.

Cell lengths 12.9368, 12.9368, 12.9368 Å; angles 109.47, 109.47, 109.47 degrees
Sites, in units of the cell vectors:
P 0.7500 0.3750 0.1250
P 0.8750 0.7500 0.1250
P 0.3750 0.7500 0.6250
P 0.2500 0.1250 0.3750
P 0.8750 0.1250 0.2500
P 0.3750 0.6250 0.2500
P 0.6250 0.3750 0.7500
P 0.1250 0.8750 0.7500
P 0.7500 0.8750 0.6250
P 0.6250 0.2500 0.3750
P 0.1250 0.2500 0.8750
P 0.2500 0.6250 0.8750
Ho 0.7055 0.1154 0.0194
Ho 0.3139 0.5194 0.4040
Ho 0.9806 0.3846 0.2945
Ho 0.5194 0.2055 0.1154
Ho 0.5901 0.7055 0.6861
Ho 0.9806 0.5960 0.1861
Ho 0.3139 0.7945 0.4099
Ho 0.0960 0.9099 0.1154
Ho 0.5960 0.9806 0.6861
Ho 0.7055 0.5901 0.1861
Ho 0.7945 0.4806 0.3846
Ho 0.8139 0.9040 0.0194
Ho 0.1154 0.7055 0.5194
Ho 0.3846 0.4040 0.0901
Ho 0.0901 0.9040 0.3846
Ho 0.4099 0.1154 0.5960
Ho 0.0901 0.1861 0.2055
Ho 0.4806 0.6861 0.0960
Ho 0.8139 0.9099 0.2945
Ho 0.1154 0.4099 0.0960
Ho 0.3846 0.9806 0.7945
Ho 0.5960 0.6154 0.4099
Ho 0.9040 0.8139 0.5194
Ho 0.7945 0.3139 0.9099
Ho 0.4040 0.3846 0.5901
Ho 0.0960 0.1861 0.4806
Ho 0.2055 0.6861 0.0901
Ho 0.1861 0.0901 0.7055
Ho 0.6154 0.0194 0.2055
Ho 0.8846 0.5901 0.9040
Ho 0.5194 0.3139 0.9040
Ho 0.5901 0.8846 0.4040
Ho 0.9099 0.8139 0.7945
Ho 0.9099 0.0960 0.6154
Ho 0.8846 0.2945 0.4806
Ho 0.1861 0.0960 0.9806
Ho 0.6154 0.5960 0.9099
Ho 0.4040 0.0194 0.3139
Ho 0.2945 0.4099 0.8139
Ho 0.2055 0.5194 0.6154
Ho 0.9040 0.0901 0.8846
Ho 0.6861 0.2055 0.5901
Ho 0.4806 0.7945 0.8846
Ho 0.0194 0.4040 0.8139
Ho 0.4099 0.2945 0.3139
Ho 0.0194 0.6154 0.7055
Ho 0.6861 0.4806 0.5960
Ho 0.2945 0.8846 0.9806
O 0.1250 0.3750 0.2500
O 0.0000 0.5000 0.0000
O 0.0000 0.0000 0.0000
O 0.3750 0.2500 0.1250
O 0.5000 0.0000 0.5000
O 0.5000 0.5000 0.0000
O 0.1250 0.7500 0.3750
O 0.7500 0.1250 0.8750
O 0.7500 0.6250 0.3750
O 0.3750 0.1250 0.7500
O 0.6250 0.8750 0.2500
O 0.5000 0.5000 0.5000
O 0.5000 0.0000 0.0000
O 0.0000 0.0000 0.5000
O 0.2500 0.3750 0.6250
O 0.2500 0.8750 0.1250
O 0.0000 0.5000 0.5000
O 0.8750 0.2500 0.6250
O 0.6250 0.7500 0.8750
O 0.8750 0.6250 0.7500

No. 7
## HoPO4 (GGA-PBE)

Data for a geometry-optimized HoPO4 structure.

Cell lengths 5.7627, 5.7627, 5.7571 Å; angles 105.94, 105.94, 116.82 degrees
Sites, in units of the cell vectors:
P 0.6250 0.3750 0.2500
P 0.3750 0.6250 0.7500
Ho 0.8750 0.1250 0.7500
Ho 0.1250 0.8750 0.2500
O 0.2139 0.2892 0.5750
O 0.2892 0.2139 0.0750
O 0.6389 0.2142 0.4250
O 0.2142 0.6389 0.9250
O 0.7108 0.7861 0.9250
O 0.7861 0.7108 0.4250
O 0.7858 0.3611 0.0750
O 0.3611 0.7858 0.5750

No. 8
## HoP5O14 (GGA-PBE)

Data for a geometry-optimized HoP5O14 structure.

Cell lengths 9.1909, 9.1909, 12.5819 Å; angles 88.89, 88.89, 89.58 degrees
Sites, in units of the cell vectors:
Ho 0.4795 0.5205 0.7500
Ho 0.5205 0.4795 0.2500
Ho 0.0342 0.9658 0.7500
Ho 0.9658 0.0342 0.2500
P 0.3243 0.3838 0.5016
P 0.6162 0.6757 0.9984
P 0.6757 0.6162 0.4984
P 0.3838 0.3243 0.0016
P 0.8180 0.4779 0.8925
P 0.5221 0.1820 0.6075
P 0.1820 0.5221 0.1075
P 0.4779 0.8180 0.3925
P 0.8737 0.1721 0.9658
P 0.8279 0.1263 0.5342
P 0.1263 0.8279 0.0342
P 0.1721 0.8737 0.4658
P 0.0492 0.3167 0.6099
P 0.6833 0.9508 0.8901
P 0.9508 0.6833 0.3901
P 0.3167 0.0492 0.1099
P 0.0762 0.5705 0.7579
P 0.4295 0.9238 0.7421
P 0.9238 0.4295 0.2421
P 0.5705 0.0762 0.2579
O 0.3547 0.4216 0.3886
O 0.5784 0.6453 0.1114
O 0.6453 0.5784 0.6114
O 0.4216 0.3547 0.8886
O 0.3590 0.4842 0.5893
O 0.5158 0.6410 0.9107
O 0.6410 0.5158 0.4107
O 0.4842 0.3590 0.0893
O 0.7184 0.4625 0.8031
O 0.5375 0.2816 0.6969
O 0.2816 0.5375 0.1969
O 0.4625 0.7184 0.3031
O 0.9209 0.1292 0.0738
O 0.8708 0.0791 0.4262
O 0.0791 0.8708 0.9262
O 0.1292 0.9209 0.5738
O 0.9660 0.1494 0.8684
O 0.8506 0.0340 0.6316
O 0.0340 0.8506 0.1316
O 0.0231 0.7195 0.7311
O 0.1494 0.9660 0.3684
O 0.7995 0.8960 0.8186
O 0.8960 0.7995 0.3186
O 0.2005 0.1040 0.1814
O 0.4693 0.0203 0.1614
O 0.9797 0.5307 0.3386
O 0.5307 0.9797 0.8386
O 0.0203 0.4693 0.6614
O 0.5028 0.9825 0.3598
O 0.0175 0.4972 0.1402
O 0.4972 0.0175 0.6402
O 0.9825 0.5028 0.8598
O 0.1019 0.7117 0.4439
O 0.2883 0.8981 0.0561
O 0.8981 0.2883 0.5561
O 0.7117 0.1019 0.9439
O 0.3457 0.1514 0.0088
O 0.8486 0.6543 0.4912
O 0.6543 0.8486 0.9912
O 0.1514 0.3457 0.5088
O 0.3426 0.8248 0.4720
O 0.1752 0.6574 0.0280
O 0.6574 0.1752 0.5280
O 0.8248 0.3426 0.9720
O 0.2209 0.3935 0.0296
O 0.6065 0.7791 0.4704
O 0.7791 0.6065 0.9704
O 0.3935 0.2209 0.5296
O 0.5402 0.2306 0.2828
O 0.7694 0.4598 0.2172
O 0.4598 0.7694 0.7172
O 0.2306 0.5402 0.7828
O 0.7195 0.0231 0.2311
O 0.9769 0.2805 0.2689
O 0.2805 0.9769 0.7689
O 0.1040 0.2005 0.6814

- Polymorph energy (0 for the lowest one): 0.000 kcal/mol of atoms

No. 9
## HoPO (GGA-PBE)

Data for a geometry-optimized HoPO structure.

Cell lengths 7.0233, 5.5119, 7.3075 Å; angles 90.00, 90.00, 129.58 degrees
Sites, in units of the cell vectors:
P 0.6455 0.2909 0.5727
P 0.8545 0.7091 0.0727
P 0.3545 0.7091 0.4273
P 0.1455 0.2909 0.9273
Ho 0.3197 0.1394 0.2500
Ho 0.1803 0.8606 0.7500
Ho 0.6803 0.8606 0.7500
Ho 0.8197 0.1394 0.2500
O 0.8473 0.6945 0.5942
O 0.6527 0.3055 0.0942
O 0.1527 0.3055 0.4058
O 0.3473 0.6945 0.9058

Energy relative to the elements, uncorrected? In order: -2.545 -2.528 -1.916 -2.269 -2.537 -1.774 -3.044 -2.343 -1.819 eV per atom.
Size of the total moment? In order: 1.04 1.04 0.00 0.00 0.00 0.00 0.00 0.00 0.00 μB per formula unit.
Calculated total energy? In order: -97.06 -98.73 -27.19 -57.20 -1180.88 -525.74 -96.16 -591.57 -81.61 eV for the cell shown.